Record 1
VASP calculation (PBE) on a relaxed Rb3Tl crystal.

For the electronic total energy, the calculation gives -1.2629 eV per atom.

It has space group I4/mmm (No. 139), with a = 6.195 Å, b = 6.195 Å, c = 12.310 Å, α = 90.00°, β = 90.00° and γ = 90.00°. The asymmetric unit holds Rb at (0.000, 0.000, 0.000), Rb at (0.000, 0.500, 0.250) and Tl at (0.000, 0.000, 0.500).

---

Record 2
VASP calculation (PBE) on a relaxed SmGa6Pd4 crystal.

For the electronic total energy, the calculation gives -4.6050 eV per atom.

It has space group P-6m2 (No. 187), with a = 7.3605 Å, b = 7.3605 Å, c = 4.0868 Å, α = 90.00°, β = 90.00° and γ = 120.00°. The asymmetric unit holds Sm at (0.0000, 0.0000, 0.0000), Ga at (0.0702, 0.5351, 0.0000), Ga at (0.3946, 0.1973, 0.5000), Pd at (0.2020, 0.4039, 0.5000) and Pd at (0.6667, 0.3333, 0.0000).

---

Record 3
VASP calculation (PBE) on a relaxed Zn7Re crystal.

For the electronic total energy, the calculation gives -2.6402 eV per atom.

It has space group Fm-3m (No. 225), with a = 7.745 Å, b = 7.745 Å, c = 7.745 Å, α = 90.00°, β = 90.00° and γ = 90.00°. The asymmetric unit holds Zn at (0.000, 0.000, 0.000), Zn at (0.000, 0.250, 0.250) and Re at (0.000, 0.000, 0.500).